Record 1
## Sm4HoCu5 (PBE-GGA)

Data for a geometry-optimized Sm4HoCu5 structure.

POSCAR file:
```
Sm4HoCu5
1.0
3.511 0.000 0.000
0.000 3.511 0.000
0.000 0.000 17.805
Sm Ho Cu
4 1 5
Direct
0.000 0.000 0.197
0.000 0.000 0.399
0.000 0.000 0.601
0.000 0.000 0.803
0.000 0.000 0.000
0.500 0.500 0.093
0.500 0.500 0.298
0.500 0.500 0.500
0.500 0.500 0.702
0.500 0.500 0.907
```

DOS(E_F) = 5.3 states/eV/f.u.
space group = P4/mmm
M_tot = 0.000 μB per formula unit
energy = -45.91 eV per formula unit

***

Record 2
## SmHo2Cu (PBE-GGA)

Data for a geometry-optimized SmHo2Cu structure.

POSCAR file:
```
SmHo2Cu
1.0
-2.532 2.370 -0.442
-0.516 -1.159 -3.258
-5.841 -5.690 2.949
Cu Ho Sm
1 2 1
Direct
0.500 0.500 0.000
0.000 0.000 0.806
0.000 0.000 0.194
0.500 0.500 0.500
```

offset from the most stable computed form = 0 meV/atom
DOS(E_F) = 4.3 states/eV/f.u.
space group = P4/mmm
M_tot = 0.000 μB per formula unit

***

Record 3
## Sm3HoCu4 (PBE-GGA)

Data for a geometry-optimized Sm3HoCu4 structure.

POSCAR file:
```
Sm3HoCu4
1.0
-2.068 0.281 -2.829
-0.435 -3.488 -0.028
-11.284 1.339 8.384
Cu Ho Sm
4 1 3
Direct
0.000 0.000 0.883
0.000 0.000 0.117
0.000 0.000 0.374
0.000 0.000 0.626
0.500 0.500 0.000
0.500 0.500 0.247
0.500 0.500 0.500
0.500 0.500 0.753
```

DOS(E_F) = 4.3 states/eV/f.u.
space group = P4/mmm
M_tot = 0.000 μB per formula unit
energy = -36.74 eV per formula unit

***

Record 4
## SmHo4Cu4 (PBE-GGA)

Data for a geometry-optimized SmHo4Cu4 structure.

POSCAR file:
```
SmHo4Cu4
1.0
5.699 0.000 0.000
0.000 8.847 0.000
0.000 0.000 8.847
Sm Ho Cu
2 8 8
Direct
0.000 0.000 0.000
0.500 0.500 0.500
0.401 0.323 0.910
0.901 0.590 0.823
0.401 0.677 0.090
0.099 0.177 0.590
0.599 0.910 0.677
0.099 0.823 0.410
0.901 0.410 0.177
0.599 0.090 0.323
0.615 0.778 0.360
0.615 0.222 0.640
0.115 0.860 0.722
0.885 0.278 0.860
0.885 0.722 0.140
0.385 0.360 0.222
0.385 0.640 0.778
0.115 0.140 0.278
```

DOS(E_F) = 13.4 states/eV/f.u.
space group = P4_2/n
M_tot = 0.000 μB per formula unit
energy = -39.70 eV per formula unit

***

Look up the M_tot of the second one.
0.000 μB per formula unit